(1)
# La2YCo (meta-GGA SCAN, single point on PBEsol structure)
# V: 104.4 Å³/f.u.
# Fermi-level density of states: 0.563 states/eV per atom
# final energy: -32.79 eV/atom
data_La2YCo
_symmetry_space_group_name_H-M 'I m m m'
_symmetry_Int_Tables_number 71
_symmetry_space_group_name_Hall '-I 2 2'
_cell_length_a 3.6129
_cell_length_b 5.5384
_cell_length_c 10.4309
_cell_angle_alpha 90.00
_cell_angle_beta 90.00
_cell_angle_gamma 90.00
loop_
_atom_site_label
_atom_site_fract_x
_atom_site_fract_y
_atom_site_fract_z
La1 0.0000 0.0000 0.1884
Y1 0.0000 0.5000 0.0000
Co1 0.0000 0.5000 0.5000


(2)
# NbRe3Si (meta-GGA SCAN, single point on PBEsol structure)
# V: 82.5 Å³/f.u.
# Fermi-level density of states: 0.833 states/eV per atom
# ΔE_f (raw): 0.869 eV per atom
# final energy: -50.42 eV/atom
data_NbRe3Si
_symmetry_space_group_name_H-M 'P m -3 m'
_symmetry_Int_Tables_number 221
_symmetry_space_group_name_Hall '-P 4 2 3'
_cell_length_a 4.3534
_cell_length_b 4.3534
_cell_length_c 4.3534
_cell_angle_alpha 90.00
_cell_angle_beta 90.00
_cell_angle_gamma 90.00
loop_
_atom_site_label
_atom_site_fract_x
_atom_site_fract_y
_atom_site_fract_z
Nb1 0.0000 0.0000 0.0000
Re1 0.0000 0.5000 0.5000
Si1 0.5000 0.5000 0.5000


(3)
# AlSb2W (meta-GGA SCAN, single point on PBEsol structure)
# V: 80.9 Å³/f.u.
# Fermi-level density of states: 0.648 states/eV per atom
# ΔE_f (raw): 0.468 eV per atom
# final energy: -37.52 eV/atom
data_AlSb2W
_symmetry_space_group_name_H-M 'P 4/m m m'
_symmetry_Int_Tables_number 123
_symmetry_space_group_name_Hall '-P 4 2'
_cell_length_a 3.2837
_cell_length_b 3.2837
_cell_length_c 7.4982
_cell_angle_alpha 90.00
_cell_angle_beta 90.00
_cell_angle_gamma 90.00
loop_
_atom_site_label
_atom_site_fract_x
_atom_site_fract_y
_atom_site_fract_z
Al1 0.0000 0.0000 0.0000
Sb1 0.5000 0.5000 0.2811
W1 0.0000 0.0000 0.5000


(4)
# CaNb3Al (meta-GGA SCAN, single point on PBEsol structure)
# V: 113.9 Å³/f.u.
# Fermi-level density of states: 0.911 states/eV per atom
# final energy: -22.31 eV/atom
data_CaNb3Al
_symmetry_space_group_name_H-M 'P m -3 m'
_symmetry_Int_Tables_number 221
_symmetry_space_group_name_Hall '-P 4 2 3'
_cell_length_a 4.8481
_cell_length_b 4.8481
_cell_length_c 4.8481
_cell_angle_alpha 90.00
_cell_angle_beta 90.00
_cell_angle_gamma 90.00
loop_
_atom_site_label
_atom_site_fract_x
_atom_site_fract_y
_atom_site_fract_z
Ca1 0.0000 0.0000 0.0000
Nb1 0.0000 0.5000 0.5000
Al1 0.5000 0.5000 0.5000


(5)
# NiRh2 (meta-GGA SCAN, single point on PBEsol structure)
# polymorph energy (0 for the lowest one): 2 meV per atom
# V: 37.8 Å³/f.u.
# Fermi-level density of states: 0.981 states/eV per atom
# final energy: -27.87 eV/atom
data_NiRh2
_symmetry_space_group_name_H-M 'C m m m'
_symmetry_Int_Tables_number 65
_symmetry_space_group_name_Hall '-C 2 2'
_cell_length_a 3.7121
_cell_length_b 11.1163
_cell_length_c 3.6647
_cell_angle_alpha 90.00
_cell_angle_beta 90.00
_cell_angle_gamma 90.00
loop_
_atom_site_label
_atom_site_fract_x
_atom_site_fract_y
_atom_site_fract_z
Ni1 0.0000 0.1665 0.0000
Rh1 0.0000 0.0000 0.5000
Rh2 0.0000 0.3310 0.5000
Rh3 0.0000 0.5000 0.0000


(6)
# Rb3ZnH5 (meta-GGA SCAN, single point on PBEsol structure)
# V: 168.1 Å³/f.u.
# Fermi-level density of states: 0.000 states/eV per atom
# final energy: -10.65 eV/atom
data_Rb3ZnH5
_symmetry_space_group_name_H-M 'I 4/m c m'
_symmetry_Int_Tables_number 140
_symmetry_space_group_name_Hall '-I 4 2c'
_cell_length_a 7.6692
_cell_length_b 7.6692
_cell_length_c 11.4291
_cell_angle_alpha 90.00
_cell_angle_beta 90.00
_cell_angle_gamma 90.00
loop_
_atom_site_label
_atom_site_fract_x
_atom_site_fract_y
_atom_site_fract_z
Rb1 0.0000 0.0000 0.2500
Rb2 0.1782 0.3218 0.0000
Zn1 0.0000 0.5000 0.2500
H1 0.0000 0.0000 0.0000
H2 0.1227 0.3773 0.3353


(7)
# YTe (meta-GGA SCAN, single point on PBEsol structure)
# V: 60.7 Å³/f.u.
# Fermi-level density of states: 0.469 states/eV per atom
# ΔE_f (raw): -1.390 eV per atom
# final energy: -33.94 eV/atom
data_YTe
_symmetry_space_group_name_H-M 'C m c m'
_symmetry_Int_Tables_number 63
_symmetry_space_group_name_Hall '-C 2c 2'
_cell_length_a 4.1352
_cell_length_b 14.1693
_cell_length_c 4.1446
_cell_angle_alpha 90.00
_cell_angle_beta 90.00
_cell_angle_gamma 90.00
loop_
_atom_site_label
_atom_site_fract_x
_atom_site_fract_y
_atom_site_fract_z
Y1 0.0000 0.1686 0.2500
Te1 0.0000 0.3846 0.2500


(8)
# NiAsSe2 (meta-GGA SCAN, single point on PBEsol structure)
# V: 69.1 Å³/f.u.
# Fermi-level density of states: 0.625 states/eV per atom
# ΔE_f (raw): 0.093 eV per atom
# final energy: -19.04 eV/atom
data_NiAsSe2
_symmetry_space_group_name_H-M 'I 4/m m m'
_symmetry_Int_Tables_number 139
_symmetry_space_group_name_Hall '-I 4 2'
_cell_length_a 5.1889
_cell_length_b 5.1889
_cell_length_c 5.1344
_cell_angle_alpha 90.00
_cell_angle_beta 90.00
_cell_angle_gamma 90.00
loop_
_atom_site_label
_atom_site_fract_x
_atom_site_fract_y
_atom_site_fract_z
Ni1 0.0000 0.0000 0.0000
As1 0.0000 0.0000 0.5000
Se1 0.0000 0.5000 0.0000


(9)
# Rb2GdCl5 (meta-GGA SCAN, single point on PBEsol structure)
# V: 228.6 Å³/f.u.
# Fermi-level density of states: 0.000 states/eV per atom
# ΔE_f (raw): -2.409 eV per atom
# final energy: -19.93 eV/atom
data_Rb2GdCl5
_symmetry_space_group_name_H-M 'P n m a'
_symmetry_Int_Tables_number 62
_symmetry_space_group_name_Hall '-P 2ac 2n'
_cell_length_a 12.9774
_cell_length_b 8.6808
_cell_length_c 8.1176
_cell_angle_alpha 90.00
_cell_angle_beta 90.00
_cell_angle_gamma 90.00
loop_
_atom_site_label
_atom_site_fract_x
_atom_site_fract_y
_atom_site_fract_z
Rb1 0.1704 0.0068 0.0652
Gd1 0.0050 0.2500 0.5706
Cl1 0.0125 0.2500 0.9031
Cl2 0.0670 0.5440 0.6640
Cl3 0.1778 0.2500 0.3918
Cl4 0.1955 0.7500 0.3537


(10)
# YSi3 (meta-GGA SCAN, single point on PBEsol structure)
# V: 68.4 Å³/f.u.
# Fermi-level density of states: 0.368 states/eV per atom
# ΔE_f (raw): -0.313 eV per atom
# final energy: -14.79 eV/atom
data_YSi3
_symmetry_space_group_name_H-M 'I 4/m m m'
_symmetry_Int_Tables_number 139
_symmetry_space_group_name_Hall '-I 4 2'
_cell_length_a 7.1530
_cell_length_b 7.1530
_cell_length_c 10.6922
_cell_angle_alpha 90.00
_cell_angle_beta 90.00
_cell_angle_gamma 90.00
loop_
_atom_site_label
_atom_site_fract_x
_atom_site_fract_y
_atom_site_fract_z
Y1 0.0000 0.0000 0.1698
Y2 0.0000 0.5000 0.2500
Si1 0.0000 0.3268 0.0000
Si2 0.1853 0.1853 0.3868


(11)
# CrReAu2 (meta-GGA SCAN, single point on PBEsol structure)
# polymorph energy (0 for the lowest one): 130 meV per atom
# V: 63.1 Å³/f.u.
# Fermi-level density of states: 0.583 states/eV per atom
# final energy: -56.60 eV/atom
data_CrReAu2
_symmetry_space_group_name_H-M 'P 4/m m m'
_symmetry_Int_Tables_number 123
_symmetry_space_group_name_Hall '-P 4 2'
_cell_length_a 4.6418
_cell_length_b 4.6418
_cell_length_c 2.9308
_cell_angle_alpha 90.00
_cell_angle_beta 90.00
_cell_angle_gamma 90.00
loop_
_atom_site_label
_atom_site_fract_x
_atom_site_fract_y
_atom_site_fract_z
Cr1 0.0000 0.0000 0.0000
Re1 0.5000 0.5000 0.0000
Au1 0.0000 0.5000 0.5000


(12)
# CdAg2Sb (meta-GGA SCAN, single point on PBEsol structure)
# polymorph energy (0 for the lowest one): 6 meV per atom
# V: 80.4 Å³/f.u.
# Fermi-level density of states: 0.327 states/eV per atom
# ΔE_f (raw): 0.066 eV per atom
# final energy: -32.54 eV/atom
data_CdAg2Sb
_symmetry_space_group_name_H-M 'C 1 2/m 1'
_symmetry_Int_Tables_number 12
_symmetry_space_group_name_Hall '-C 2y'
_cell_length_a 9.2080
_cell_length_b 3.1201
_cell_length_c 5.6926
_cell_angle_alpha 90.00
_cell_angle_beta 100.58
_cell_angle_gamma 90.00
loop_
_atom_site_label
_atom_site_fract_x
_atom_site_fract_y
_atom_site_fract_z
Cd1 0.0000 0.0000 0.0000
Ag1 0.2464 0.5000 0.2271
Sb1 0.0000 0.5000 0.5000